(1)
A relaxed structure of BaMnPb2, computed with GGA-PBE.

Summary:
Uncorrected energy, eV/atom: -4.5125
Symmetry: No. 71
ΔH_f (0 K), eV per atom: 0.11
Total magnetization, μB per formula unit: 3.3

Cell lengths 6.5012, 6.5012, 6.5012 Å; angles 147.59, 122.20, 67.85 degrees
Element x y z (fractional)
Ba 0.0000 0.0000 0.0000
Mn 0.5000 0.5000 0.0000
Pb 0.2895 0.7895 0.5000
Pb 0.7105 0.2105 0.5000

(2)
A relaxed structure of Ba4MnPb, computed with GGA-PBE.

Summary:
Uncorrected energy, eV/atom: -2.8596
Symmetry: No. 216
ΔH_f (0 K), eV per atom: 0.57
Total magnetization, μB per formula unit: 3.4

Cell lengths 7.2473, 7.2473, 7.2473 Å; angles 60.00, 60.00, 60.00 degrees
Element x y z (fractional)
Ba 0.3755 0.3755 0.3755
Ba 0.3755 0.3755 0.8734
Ba 0.3755 0.8734 0.3755
Ba 0.8734 0.3755 0.3755
Mn 0.0000 0.0000 0.0000
Pb 0.7500 0.7500 0.7500

(3)
A relaxed structure of BaMnPb2, computed with GGA-PBE.

Summary:
Uncorrected energy, eV/atom: -4.4788
Symmetry: No. 99
ΔH_f (0 K), eV per atom: 0.15
Total magnetization, μB per formula unit: 4.1

Cell lengths 4.0114, 4.0114, 7.8552 Å; angles 90.00, 90.00, 90.00 degrees
Element x y z (fractional)
Ba 0.0000 0.0000 0.0000
Mn 0.5000 0.5000 0.3291
Pb 0.0000 0.0000 0.4469
Pb 0.5000 0.5000 0.6940

(4)
A relaxed structure of BaMnPb2, computed with GGA-PBE.

Summary:
Uncorrected energy, eV/atom: -4.6366
Symmetry: No. 8
ΔH_f (0 K), eV per atom: -0.01
Total magnetization, μB per formula unit: 3.5

Cell lengths 4.7075, 4.7075, 7.3848 Å; angles 108.75, 108.75, 59.56 degrees
Element x y z (fractional)
Ba 0.0000 0.0000 0.0000
Mn 0.8177 0.8177 0.4600
Pb 0.2071 0.2071 0.6308
Pb 0.4409 0.4409 0.3266

(5)
A relaxed structure of BaMnPb2, computed with GGA-PBE.

Summary:
Uncorrected energy, eV/atom: -4.6993
Symmetry: No. 166
ΔH_f (0 K), eV per atom: -0.07
Total magnetization, μB per formula unit: 3.5

Cell lengths 7.0557, 7.0557, 7.0557 Å; angles 39.36, 39.36, 39.36 degrees
Element x y z (fractional)
Ba 0.0000 0.0000 0.0000
Mn 0.5000 0.5000 0.5000
Pb 0.2178 0.2178 0.2178
Pb 0.7822 0.7822 0.7822

(6)
A relaxed structure of BaMnPb2, computed with GGA-PBE.

Summary:
Uncorrected energy, eV/atom: -4.2372
Symmetry: No. 122
ΔH_f (0 K), eV per atom: 0.39
Total magnetization, μB per formula unit: 0.0

Cell lengths 9.0396, 9.0396, 9.0396 Å; angles 139.92, 139.92, 57.98 degrees
Element x y z (fractional)
Ba 0.0000 0.0000 0.0000
Ba 0.7500 0.2500 0.5000
Mn 0.2500 0.7500 0.5000
Mn 0.5000 0.5000 0.0000
Pb 0.3424 0.6250 0.2174
Pb 0.3750 0.5924 0.7174
Pb 0.4076 0.1250 0.7826
Pb 0.8750 0.6576 0.2826

(7)
A relaxed structure of BaMnPb3, computed with GGA-PBE.

Summary:
Uncorrected energy, eV/atom: -4.3329
Symmetry: No. 221
ΔH_f (0 K), eV per atom: 0.11
Total magnetization, μB per formula unit: 0.0

Cell lengths 5.2840, 5.2840, 5.2840 Å; angles 90.00, 90.00, 90.00 degrees
Element x y z (fractional)
Ba 0.0000 0.0000 0.0000
Mn 0.5000 0.5000 0.5000
Pb 0.0000 0.5000 0.5000
Pb 0.5000 0.0000 0.5000
Pb 0.5000 0.5000 0.0000

(8)
A relaxed structure of Ba2MnPbS4, computed with GGA-PBE.

Summary:
Uncorrected energy, eV/atom: -5.3299
Symmetry: No. 15
Formation energy (no corrections), meV per atom: -1176
Total magnetization, μB per formula unit: 5.0

Cell lengths 8.5281, 8.5281, 8.5209 Å; angles 119.93, 119.93, 89.51 degrees
Element x y z (fractional)
Ba 0.0000 0.0000 0.0000
Ba 0.0000 0.0000 0.5000
Ba 0.0000 0.5000 0.0000
Ba 0.5000 0.0000 0.5000
Mn 0.0000 0.5000 0.5000
Mn 0.5000 0.0000 0.0000
Pb 0.5000 0.5000 0.0000
Pb 0.5000 0.5000 0.5000
S 0.2355 0.2822 0.5088
S 0.2538 0.7443 0.5281
S 0.2557 0.7462 0.9719
S 0.2822 0.2355 0.0088
S 0.7178 0.7645 0.9912
S 0.7443 0.2538 0.0281
S 0.7462 0.2557 0.4719
S 0.7645 0.7178 0.4912

(9)
A relaxed structure of Ba2MnPbSe4, computed with GGA-PBE.

Summary:
Uncorrected energy, eV/atom: -4.9860
Symmetry: No. 74
Formation energy (no corrections), meV per atom: -1153
Total magnetization, μB per formula unit: 5.0

Cell lengths 8.8607, 8.8607, 8.8607 Å; angles 120.09, 119.62, 90.25 degrees
Element x y z (fractional)
Ba 0.0000 0.0000 0.0000
Ba 0.5000 0.0000 0.0000
Ba 0.5000 0.0000 0.5000
Ba 0.5000 0.5000 0.5000
Mn 0.0000 0.5000 0.5000
Mn 0.5000 0.5000 0.0000
Pb 0.0000 0.0000 0.5000
Pb 0.0000 0.5000 0.0000
Se 0.2194 0.7291 0.4903
Se 0.2447 0.2768 0.5320
Se 0.2447 0.7127 0.9680
Se 0.2613 0.2709 0.9903
Se 0.7387 0.7291 0.0097
Se 0.7553 0.2873 0.0320
Se 0.7553 0.7232 0.4680
Se 0.7806 0.2709 0.5097

(10)
A relaxed structure of BaMnPb2Se4, computed with GGA-PBE.

Summary:
Uncorrected energy, eV/atom: -4.9322
Symmetry: No. 63
Formation energy (no corrections), meV per atom: -876
Total magnetization, μB per formula unit: 5.0

Cell lengths 7.6248, 7.6248, 15.2220 Å; angles 90.00, 90.00, 146.70 degrees
Element x y z (fractional)
Ba 0.1116 0.8884 0.7500
Ba 0.8884 0.1116 0.2500
Mn 0.1600 0.8400 0.2500
Mn 0.8400 0.1600 0.7500
Pb 0.3690 0.6310 0.5511
Pb 0.3690 0.6310 0.9489
Pb 0.6310 0.3690 0.0511
Pb 0.6310 0.3690 0.4489
Se 0.0000 0.0000 0.0000
Se 0.0000 0.0000 0.5000
Se 0.2715 0.7285 0.1256
Se 0.2715 0.7285 0.3744
Se 0.4354 0.5646 0.7500
Se 0.5646 0.4354 0.2500
Se 0.7285 0.2715 0.6256
Se 0.7285 0.2715 0.8744

(11)
A relaxed structure of BaMnSi2Pb, computed with GGA-PBE.

Summary:
ΔE to the lowest computed polymorph, meV per atom: 1398
Uncorrected energy, eV/atom: -3.4052
Symmetry: No. 123
Formation energy (no corrections), meV per atom: 1724
Total magnetization, μB per formula unit: 0.2

Cell lengths 5.2986, 5.2986, 6.5329 Å; angles 90.00, 90.00, 90.00 degrees
Element x y z (fractional)
Ba 0.0000 0.0000 0.0000
Mn 0.5000 0.5000 0.0000
Si 0.0000 0.5000 0.5000
Si 0.5000 0.0000 0.5000
Pb 0.0000 0.0000 0.5000

(12)
A relaxed structure of BaMnSi2Pb, computed with GGA-PBE.

Summary:
ΔE to the lowest computed polymorph, meV per atom: 0
Uncorrected energy, eV/atom: -4.8036
Symmetry: No. 123
Formation energy (no corrections), meV per atom: 326
Total magnetization, μB per formula unit: 2.4

Cell lengths 4.7243, 4.7243, 5.5769 Å; angles 90.00, 90.00, 90.00 degrees
Element x y z (fractional)
Ba 0.0000 0.0000 0.0000
Mn 0.0000 0.0000 0.5000
Si 0.0000 0.5000 0.5000
Si 0.5000 0.0000 0.5000
Pb 0.5000 0.5000 0.0000

(13)
A relaxed structure of BaMnTe2Pb, computed with GGA-PBE.

Summary:
Uncorrected energy, eV/atom: -4.6861
Symmetry: No. 123
Formation energy (no corrections), meV per atom: -469
Total magnetization, μB per formula unit: 3.5

Cell lengths 5.5932, 5.5932, 5.1881 Å; angles 90.00, 90.00, 90.00 degrees
Element x y z (fractional)
Ba 0.0000 0.0000 0.0000
Mn 0.5000 0.5000 0.5000
Te 0.0000 0.5000 0.5000
Te 0.5000 0.0000 0.5000
Pb 0.5000 0.5000 0.0000

(14)
A relaxed structure of BaMnPd2, computed with GGA-PBE.

Summary:
Uncorrected energy, eV/atom: -5.3055
Symmetry: No. 225
ΔH_f (0 K), eV per atom: 0.06
Total magnetization, μB per formula unit: 4.5

Cell lengths 5.0236, 5.0236, 5.0236 Å; angles 60.00, 60.00, 60.00 degrees
Element x y z (fractional)
Ba 0.0000 0.0000 0.0000
Mn 0.5000 0.5000 0.5000
Pd 0.2500 0.2500 0.2500
Pd 0.7500 0.7500 0.7500

(15)
A relaxed structure of Ba3MnPd, computed with GGA-PBE.

Summary:
Uncorrected energy, eV/atom: -3.4481
Symmetry: No. 221
ΔH_f (0 K), eV per atom: 0.58
Total magnetization, μB per formula unit: 0.0

Cell lengths 5.6035, 5.6035, 5.6035 Å; angles 90.00, 90.00, 90.00 degrees
Element x y z (fractional)
Ba 0.0000 0.0000 0.5000
Ba 0.0000 0.5000 0.0000
Ba 0.5000 0.0000 0.0000
Mn 0.0000 0.0000 0.0000
Pd 0.5000 0.5000 0.5000

(16)
A relaxed structure of BaMnPd2, computed with GGA-PBE.

Summary:
Uncorrected energy, eV/atom: -5.4004
Symmetry: No. 122
ΔH_f (0 K), eV per atom: -0.03
Total magnetization, μB per formula unit: 4.6

Cell lengths 9.2980, 9.2980, 9.2980 Å; angles 147.47, 147.47, 46.67 degrees
Element x y z (fractional)
Ba 0.0000 0.0000 0.0000
Ba 0.7500 0.2500 0.5000
Mn 0.2500 0.7500 0.5000
Mn 0.5000 0.5000 0.0000
Pd 0.3402 0.6250 0.2152
Pd 0.3750 0.5902 0.7152
Pd 0.4098 0.1250 0.7848
Pd 0.8750 0.6598 0.2848

(17)
A relaxed structure of BaMnPd2Pt, computed with GGA-PBE.

Summary:
Uncorrected energy, eV/atom: -3.8020
Symmetry: No. 123
ΔH_f (0 K), eV per atom: 1.70
Total magnetization, μB per formula unit: 4.5

Cell lengths 5.1383, 5.1383, 5.4712 Å; angles 90.00, 90.00, 90.00 degrees
Element x y z (fractional)
Ba 0.0000 0.0000 0.0000
Mn 0.0000 0.0000 0.5000
Pd 0.0000 0.5000 0.0000
Pd 0.5000 0.0000 0.0000
Pt 0.5000 0.5000 0.5000

(18)
A relaxed structure of BaMnPdS2, computed with GGA-PBE.

Summary:
Uncorrected energy, eV/atom: -4.0795
Symmetry: No. 123
Formation energy (no corrections), meV per atom: 829
Total magnetization, μB per formula unit: 4.6

Cell lengths 5.7581, 5.7581, 5.2920 Å; angles 90.00, 90.00, 90.00 degrees
Element x y z (fractional)
Ba 0.0000 0.0000 0.0000
Mn 0.5000 0.5000 0.5000
Pd 0.0000 0.0000 0.5000
S 0.0000 0.5000 0.0000
S 0.5000 0.0000 0.0000

(19)
A relaxed structure of Ba2MnSbPd6, computed with GGA-PBE.

Summary:
Uncorrected energy, eV/atom: -5.2530
Symmetry: No. 2
Formation energy (no corrections), meV per atom: -424
Total magnetization, μB per formula unit: 4.3

Cell lengths 6.8130, 6.8188, 6.8564 Å; angles 60.78, 60.72, 60.85 degrees
Element x y z (fractional)
Ba 0.2002 0.2015 0.2015
Ba 0.7998 0.7985 0.7985
Mn 0.0000 0.0000 0.0000
Sb 0.5000 0.5000 0.5000
Pd 0.1666 0.6356 0.3178
Pd 0.3190 0.1653 0.6338
Pd 0.3649 0.6804 0.8347
Pd 0.6351 0.3196 0.1653
Pd 0.6810 0.8347 0.3662
Pd 0.8334 0.3644 0.6822

(20)
A relaxed structure of BaMn2TlPd, computed with GGA-PBE.

Summary:
Uncorrected energy, eV/atom: -4.9867
Symmetry: No. 123
ΔH_f (0 K), eV per atom: 0.58
Total magnetization, μB per formula unit: 8.7

Cell lengths 5.1850, 5.1850, 5.3610 Å; angles 90.00, 90.00, 90.00 degrees
Element x y z (fractional)
Ba 0.0000 0.0000 0.0000
Mn 0.0000 0.5000 0.5000
Mn 0.5000 0.0000 0.5000
Tl 0.5000 0.5000 0.5000
Pd 0.5000 0.5000 0.0000

(21)
A relaxed structure of BaMn2VPd, computed with GGA-PBE.

Summary:
Uncorrected energy, eV/atom: -6.2429
Symmetry: No. 123
ΔH_f (0 K), eV per atom: 0.67
Total magnetization, μB per formula unit: 11.6

Cell lengths 5.0543, 5.0543, 4.9557 Å; angles 90.00, 90.00, 90.00 degrees
Element x y z (fractional)
Ba 0.0000 0.0000 0.0000
Mn 0.0000 0.5000 0.5000
Mn 0.5000 0.0000 0.5000
V 0.5000 0.5000 0.0000
Pd 0.5000 0.5000 0.5000

(22)
A relaxed structure of BaMn2PdW, computed with GGA-PBE.

Summary:
Uncorrected energy, eV/atom: -6.9641
Symmetry: No. 123
ΔH_f (0 K), eV per atom: 0.72
Total magnetization, μB per formula unit: 5.3

Cell lengths 4.7852, 4.7852, 5.2142 Å; angles 90.00, 90.00, 90.00 degrees
Element x y z (fractional)
Ba 0.0000 0.0000 0.0000
Mn 0.0000 0.5000 0.5000
Mn 0.5000 0.0000 0.5000
Pd 0.5000 0.5000 0.0000
W 0.5000 0.5000 0.5000

(23)
A relaxed structure of BaZrMn2Pd, computed with GGA-PBE.

Summary:
Uncorrected energy, eV/atom: -6.3191
Symmetry: No. 123
ΔH_f (0 K), eV per atom: 0.48
Total magnetization, μB per formula unit: 7.4

Cell lengths 5.1209, 5.1209, 5.0645 Å; angles 90.00, 90.00, 90.00 degrees
Element x y z (fractional)
Ba 0.0000 0.0000 0.0000
Zr 0.5000 0.5000 0.0000
Mn 0.0000 0.5000 0.5000
Mn 0.5000 0.0000 0.5000
Pd 0.5000 0.5000 0.5000

(24)
A relaxed structure of Ba2PmMnSe5, computed with GGA-PBE.

Summary:
Uncorrected energy, eV/atom: -5.4634
Symmetry: No. 36
Formation energy (no corrections), meV per atom: -1554
Total magnetization, μB per formula unit: 4.0

Cell lengths 9.6852, 9.6852, 13.4885 Å; angles 90.00, 90.00, 154.01 degrees
Element x y z (fractional)
Ba 0.1229 0.8771 0.5000
Ba 0.1245 0.8755 0.8540
Ba 0.8755 0.1245 0.3540
Ba 0.8771 0.1229 0.0000
Pm 0.1985 0.8015 0.1921
Pm 0.8015 0.1985 0.6921
Mn 0.4411 0.5589 0.5838
Mn 0.5589 0.4411 0.0838
Se 0.0357 0.9643 0.1638
Se 0.3048 0.6952 0.8356
Se 0.3141 0.6859 0.5369
Se 0.3481 0.6519 0.1766
Se 0.4997 0.5003 0.4280
Se 0.5003 0.4997 0.9280
Se 0.6519 0.3481 0.6766
Se 0.6859 0.3141 0.0369
Se 0.6952 0.3048 0.3356
Se 0.9643 0.0357 0.6638

(25)
A relaxed structure of BaPmMnSe4, computed with GGA-PBE.

Summary:
Uncorrected energy, eV/atom: -5.6564
Symmetry: No. 11
Formation energy (no corrections), meV per atom: -1402
Total magnetization, μB per formula unit: 4.0

Cell lengths 7.0070, 6.5224, 9.0039 Å; angles 90.00, 107.68, 90.00 degrees
Element x y z (fractional)
Ba 0.2421 0.2500 0.4382
Ba 0.7579 0.7500 0.5618
Pm 0.2533 0.2500 0.9422
Pm 0.7467 0.7500 0.0578
Mn 0.2661 0.7500 0.1781
Mn 0.7339 0.2500 0.8219
Se 0.0741 0.7500 0.9091
Se 0.0780 0.7500 0.3631
Se 0.4846 0.5110 0.7751
Se 0.4846 0.9890 0.7751
Se 0.5154 0.0110 0.2249
Se 0.5154 0.4890 0.2249
Se 0.9220 0.2500 0.6369
Se 0.9259 0.2500 0.0909